# 1
Here is crystalline Hf2CdP2 at its relaxed geometry from Alexandria. Energies are from PBE.

Values from the calculation:
The value obtained for the calculated volume is 18.70 Å³/atom. Its space group is No. 127. The offset from the most stable computed form is 93.1 meV/atom. As for the formation enthalpy at 0 K: -2.93 eV/f.u.

a = 7.4525 Å, b = 7.4525 Å, c = 3.3678 Å
α = 90.00°, β = 90.00°, γ = 90.00°
Last column: nearest neighbours and their distance in Å.
Fractional coordinates of all 10 atoms:
P1 0.1464 0.6464 0.5000  6 Hf 2.74-2.78
P2 0.6464 0.8536 0.5000  6 Hf 2.74-2.78
P3 0.8536 0.3536 0.5000  6 Hf 2.74-2.78
P4 0.3536 0.1464 0.5000  6 Hf 2.74-2.78
Hf1 0.3568 0.8568 0.0000  6 P 2.74-2.78, 2 Cd 2.87, 1 Hf 3.02
Hf2 0.8568 0.6432 0.0000  6 P 2.74-2.78, 2 Cd 2.87, 1 Hf 3.02
Hf3 0.6432 0.1432 0.0000  6 P 2.74-2.78, 2 Cd 2.87, 1 Hf 3.02
Hf4 0.1432 0.3568 0.0000  6 P 2.74-2.78, 2 Cd 2.87, 1 Hf 3.02
Cd1 0.0000 0.0000 0.0000  4 Hf 2.87
Cd2 0.5000 0.5000 0.0000  4 Hf 2.87



# 2
Here is crystalline Tm2NiSn at its relaxed geometry from Alexandria. Energies are from PBE.

Values from the calculation:
The value obtained for the calculated volume is 22.10 Å³/atom. Its space group is No. 123. The offset from the most stable computed form is 55.8 meV/atom. As for the formation enthalpy at 0 K: -2.11 eV/f.u.

a = 3.4326 Å, b = 3.4326 Å, c = 7.5018 Å
α = 90.00°, β = 90.00°, γ = 90.00°
Last column: nearest neighbours and their distance in Å.
Fractional coordinates of all 4 atoms:
Ni1 0.5000 0.5000 0.0000  8 Tm 2.90
Tm1 0.0000 0.0000 0.7874  4 Ni 2.90, 1 Tm 3.19, 4 Sn 3.25
Tm2 0.0000 0.0000 0.2126  4 Ni 2.90, 1 Tm 3.19, 4 Sn 3.25
Sn1 0.5000 0.5000 0.5000  8 Tm 3.25, 4 Sn 3.43